w | Computed, not measured: an optimized crystal structure of NaSnSe2Br at the PBE-GGA level of DFT.

ρ: 4.40 g/cm3

Lattice parameters (Å, degrees): 5.1253 5.1253 5.4479 90.00 90.00 90.00
With the nearest neighbours (Å) after each atom.
Space group P4/mmm (No. 123)
Inequivalent atoms, fractional coordinates:
Na: 0.0000 0.0000 0.0000 (multiplicity 1)  4 Se 2.56, 2 Br 2.72
Sn: 0.5000 0.5000 0.5000 (multiplicity 1)  4 Br 3.62, 8 Se 3.74
Se: 0.0000 0.5000 0.0000 (multiplicity 2)  2 Na 2.56
Br: 0.0000 0.0000 0.5000 (multiplicity 1)  2 Na 2.72

x | Computed, not measured: an optimized crystal structure of NaSnSe2Br at the PBE-GGA level of DFT.

ρ: 3.88 g/cm3

Lattice parameters (Å, degrees): 5.2842 5.2842 5.8165 90.00 90.00 90.00
With the nearest neighbours (Å) after each atom.
Space group P4/mmm (No. 123)
Inequivalent atoms, fractional coordinates:
Na: 0.0000 0.0000 0.0000 (multiplicity 1)  4 Br 3.74, 8 Se 3.93
Sn: 0.5000 0.5000 0.5000 (multiplicity 1)  4 Se 2.64, 2 Br 2.91
Se: 0.0000 0.5000 0.5000 (multiplicity 2)  2 Sn 2.64
Br: 0.5000 0.5000 0.0000 (multiplicity 1)  2 Sn 2.91

Most stable one: x, least stable one: w.

w | Computed, not measured: an optimized crystal structure of NaSnSeBr2 at the PBE-GGA level of DFT.

ρ: 3.66 g/cm3

Lattice parameters (Å, degrees): 5.7267 5.7267 5.2655 90.00 90.00 90.00
With the nearest neighbours (Å) after each atom.
Space group P4/mmm (No. 123)
Inequivalent atoms, fractional coordinates:
Na: 0.0000 0.0000 0.0000 (multiplicity 1)  8 Br 3.89, 4 Se 4.05
Sn: 0.5000 0.5000 0.5000 (multiplicity 1)  2 Se 2.63, 4 Br 2.86
Se: 0.5000 0.5000 0.0000 (multiplicity 1)  2 Sn 2.63
Br: 0.0000 0.5000 0.5000 (multiplicity 2)  2 Sn 2.86

x | Computed, not measured: an optimized crystal structure of NaSnSeBr2 at the PBE-GGA level of DFT.

ρ: 4.20 g/cm3

Lattice parameters (Å, degrees): 5.2280 5.2280 5.4979 90.00 90.00 90.00
With the nearest neighbours (Å) after each atom.
Space group P4/mmm (No. 123)
Inequivalent atoms, fractional coordinates:
Na: 0.0000 0.0000 0.0000 (multiplicity 1)  4 Br 2.61, 2 Se 2.75
Sn: 0.5000 0.5000 0.5000 (multiplicity 1)  4 Se 3.70, 8 Br 3.79
Se: 0.0000 0.0000 0.5000 (multiplicity 1)  2 Na 2.75
Br: 0.0000 0.5000 0.0000 (multiplicity 2)  2 Na 2.61

Most stable one: w, least stable one: x.

w | Computed, not measured: an optimized crystal structure of NaTeSeBr2 at the PBE-GGA level of DFT.

ρ: 3.65 g/cm3

Lattice parameters (Å, degrees): 5.6822 5.6822 5.4913 90.00 90.00 90.00
With the nearest neighbours (Å) after each atom.
Space group P4/mmm (No. 123)
Inequivalent atoms, fractional coordinates:
Na: 0.0000 0.0000 0.0000 (multiplicity 1)  8 Br 3.95, 4 Se 4.02
Te: 0.5000 0.5000 0.5000 (multiplicity 1)  2 Se 2.75, 4 Br 2.84
Se: 0.5000 0.5000 0.0000 (multiplicity 1)  2 Te 2.75
Br: 0.0000 0.5000 0.5000 (multiplicity 2)  2 Te 2.84

x | Computed, not measured: an optimized crystal structure of NaTeSeBr2 at the PBE-GGA level of DFT.

ρ: 4.40 g/cm3

Lattice parameters (Å, degrees): 5.1469 5.1469 5.5429 90.00 90.00 90.00
With the nearest neighbours (Å) after each atom.
Space group P4/mmm (No. 123)
Inequivalent atoms, fractional coordinates:
Na: 0.0000 0.0000 0.0000 (multiplicity 1)  4 Br 2.57, 2 Se 2.77
Te: 0.5000 0.5000 0.5000 (multiplicity 1)  4 Se 3.64, 8 Br 3.78
Se: 0.0000 0.0000 0.5000 (multiplicity 1)  2 Na 2.77
Br: 0.0000 0.5000 0.0000 (multiplicity 2)  2 Na 2.57

Most stable one: w, least stable one: x.